(1)
The following is a PBE-GGA calculation of a relaxed CdSiO2 crystal, from Alexandria.

Output
N(E_F): 0.018 states/eV/atom
SG: R-3m
Energy relative to the lowest polymorph listed for this composition: 700 meV per atom

extended XYZ file:
```
12
Lattice="3.2332 0.0000 0.0000 -1.6166 2.8001 0.0000 0.0000 0.0000 17.8586" Properties=species:S:1:pos:R:3 pbc="T T T"
Cd 0.0000 0.0000 0.0000
Cd 0.0000 1.8667 11.9057
Cd 1.6166 0.9334 5.9528
Si 0.0000 0.0000 8.9293
Si 0.0000 1.8667 2.9764
Si 1.6166 0.9334 14.8821
O 0.0000 0.0000 7.2571
O 0.0000 0.0000 10.6015
O 0.0000 1.8667 1.3042
O 0.0000 1.8667 4.6486
O 1.6166 0.9334 13.2099
O 1.6166 0.9334 16.5543
```

(2)
The following is a PBE-GGA calculation of a relaxed CdSiO2 crystal, from Alexandria.

Output
N(E_F): 0.014 states/eV/atom
SG: Fd-3m
Energy relative to the lowest polymorph listed for this composition: 23 meV per atom

extended XYZ file:
```
8
Lattice="0.0000 3.8268 3.8268 3.8268 0.0000 3.8268 3.8268 3.8268 0.0000" Properties=species:S:1:pos:R:3 pbc="T T T"
Cd 0.9567 0.9567 0.9567
Cd 6.6970 6.6970 6.6970
Si 2.8701 2.8701 2.8701
Si 4.7835 4.7835 4.7835
O 3.8268 1.9134 1.9134
O 1.9134 3.8268 1.9134
O 1.9134 1.9134 3.8268
O 3.8268 3.8268 3.8268
```

(3)
The following is a PBE-GGA calculation of a relaxed TaCdSi2O8 crystal, from Alexandria.

Output
N(E_F): 0.885 states/eV/atom
SG: I-4m2
E: -89.76 eV for the cell shown

extended XYZ file:
```
12
Lattice="-3.3284 3.3284 3.0349 3.3284 -3.3284 3.0349 3.3284 3.3284 -3.0349" Properties=species:S:1:pos:R:3 pbc="T T T"
Ta 0.0000 0.0000 0.0000
Cd 3.3284 0.0000 1.5174
Si 0.0000 0.0000 3.0349
Si 0.0000 3.3284 1.5174
O 2.1732 3.3284 -1.1640
O 1.1552 0.0000 1.8709
O 0.0000 1.9950 0.5380
O 3.3284 2.1732 1.1640
O 0.0000 4.6618 0.5380
O 0.0000 1.1552 4.1989
O -1.3334 3.3284 2.4969
O 1.3334 3.3284 2.4969
```

(4)
The following is a PBE-GGA calculation of a relaxed CdSiTe2O8 crystal, from Alexandria.

Output
N(E_F): 0.339 states/eV/atom
SG: C2/m
E: -65.39 eV for the cell shown

extended XYZ file:
```
12
Lattice="5.5708 -2.6402 0.0000 5.5708 2.6402 0.0000 -1.8837 0.0000 4.9416" Properties=species:S:1:pos:R:3 pbc="T T T"
Cd 0.0000 0.0000 0.0000
Si 4.6290 0.0000 2.4708
Te 1.2039 0.0000 3.4750
Te 8.0541 0.0000 1.4666
O 3.9530 1.2983 1.3103
O 1.4493 0.0000 1.6198
O 5.3050 1.2983 3.6313
O 3.2875 0.0000 3.5937
O 5.9705 0.0000 1.3480
O 3.9530 -1.2983 1.3103
O 7.8087 0.0000 3.3218
O 5.3050 -1.2983 3.6313
```

(5)
The following is a PBE-GGA calculation of a relaxed TiCdSiO5 crystal, from Alexandria.

Output
N(E_F): 0.000 states/eV/atom
SG: C2/c
E: -117.12 eV for the cell shown

extended XYZ file:
```
16
Lattice="3.3568 -4.3346 0.0000 3.3568 4.3346 0.0000 -3.0152 0.0000 6.5481" Properties=species:S:1:pos:R:3 pbc="T T T"
Ti 0.0000 0.0000 0.0000
Ti -1.5076 0.0000 3.2740
Cd 1.0954 1.4935 4.9111
Cd 2.6030 -1.4935 1.6370
Si 2.6030 1.5428 1.6370
Si 1.0954 -1.5428 4.9111
O 1.0954 3.7152 4.9111
O 1.5539 2.4819 2.5020
O 1.8204 0.5137 0.6155
O 3.6520 2.4819 0.7721
O 0.3128 -0.5137 3.8896
O 3.3856 0.5137 2.6585
O 0.0463 -2.4819 5.7760
O 1.8779 -0.5137 5.9326
O 2.1444 -2.4819 4.0461
O 2.6030 -3.7152 1.6370
```

(6)
The following is a PBE-GGA calculation of a relaxed Tl2CdSiO4 crystal, from Alexandria.

Output
N(E_F): 0.000 states/eV/atom
SG: Fddd
E: -83.77 eV for the cell shown

extended XYZ file:
```
16
Lattice="0.0000 5.6422 10.7962 2.8026 0.0000 10.7962 2.8026 5.6422 0.0000" Properties=species:S:1:pos:R:3 pbc="T T T"
Tl 2.1020 4.2317 1.4148
Tl 3.5033 7.0528 6.8129
Tl 2.1020 4.2317 14.7796
Tl 3.5033 7.0528 20.1777
Cd 0.7007 1.4106 2.6991
Cd 4.9046 9.8739 18.8934
Si 2.1020 4.2317 8.0972
Si 3.5033 7.0528 13.4953
O 3.1275 3.2038 7.2676
O 3.1275 5.2595 8.9267
O 4.5288 6.0249 14.3248
O 4.5288 8.0806 12.6658
O 1.0764 3.2038 8.9267
O 1.0764 5.2595 7.2676
O 2.4777 6.0249 12.6658
O 2.4777 8.0806 14.3248
```